# 1
# PBE CsCrMo3, optimized geometry
data_CsCrMo3
_chemical_formula_sum 'Cs1 Cr1 Mo3'
_cell_length_a 4.8480
_cell_length_b 4.8480
_cell_length_c 4.8480
_cell_angle_alpha 90.00
_cell_angle_beta 90.00
_cell_angle_gamma 90.00
_space_group_name_H-M_alt 'P m -3 m'
_space_group_IT_number 221
_space_group_name_Hall '-P 4 2 3'
loop_
_atom_site_label
_atom_site_type_symbol
_atom_site_fract_x
_atom_site_fract_y
_atom_site_fract_z
Cs1 Cs 0.0000 0.0000 0.0000
Cr1 Cr 0.5000 0.5000 0.5000
Mo1 Mo 0.0000 0.0000 0.5000
# energy above the most stable polymorph in this dataset: 859 kJ/mol of formula units
# total magnetic moment: 0.19 μB per formula unit
# calculated formation energy: 3.6641 eV/atom
# density of states at the Fermi level: 11.341 states/eV/f.u.



# 2
# PBE LiCoB, optimized geometry
data_LiCoB
_chemical_formula_sum 'Li2 Co2 B2'
_cell_length_a 2.6880
_cell_length_b 2.6880
_cell_length_c 8.8758
_cell_angle_alpha 90.00
_cell_angle_beta 90.00
_cell_angle_gamma 90.00
_space_group_name_H-M_alt 'I 4 m m'
_space_group_IT_number 107
_space_group_name_Hall 'I 4 -2'
loop_
_atom_site_label
_atom_site_type_symbol
_atom_site_fract_x
_atom_site_fract_y
_atom_site_fract_z
Li1 Li 0.0000 0.0000 0.0000
Co1 Co 0.0000 0.0000 0.2782
B1 B 0.0000 0.0000 0.7290
# total magnetic moment: 0.30 μB per formula unit
# calculated formation energy: -0.0469 eV/atom
# density of states at the Fermi level: 1.067 states/eV/f.u.



# 3
# PBE La3Dy4Y5, optimized geometry
data_La3Dy4Y5
_chemical_formula_sum 'La6 Dy8 Y10'
_cell_length_a 16.2219
_cell_length_b 5.9837
_cell_length_c 9.3471
_cell_angle_alpha 90.00
_cell_angle_beta 116.60
_cell_angle_gamma 90.00
_space_group_name_H-M_alt 'C 1 2/m 1'
_space_group_IT_number 12
loop_
_space_group_symop_operation_xyz
'x,y,z'
'-x,-y,-z'
'-x,y,-z'
'x,-y,z'
'x+1/2,y+1/2,z'
'-x+1/2,-y+1/2,-z'
'-x+1/2,y+1/2,-z'
'x+1/2,-y+1/2,z'
loop_
_atom_site_label
_atom_site_type_symbol
_atom_site_fract_x
_atom_site_fract_y
_atom_site_fract_z
La1 La 0.0000 0.0000 0.0000
La2 La 0.2068 0.5000 0.2247
Dy1 Dy 0.0804 0.5000 0.4391
Dy2 Dy 0.2070 0.5000 0.8719
Y1 Y 0.0000 0.5000 0.0000
Y2 Y 0.0742 0.0000 0.6990
Y3 Y 0.1720 0.0000 0.3928
# energy above the most stable polymorph in this dataset: 253 kJ/mol of formula units
# total magnetic moment: 0.27 μB per formula unit
# calculated formation energy: 0.2438 eV/atom
# density of states at the Fermi level: 19.864 states/eV/f.u.



# 4
# PBE LiAc2BePd6, optimized geometry
data_LiAc2BePd6
_chemical_formula_sum 'Li1 Ac2 Be1 Pd6'
_cell_length_a 6.0596
_cell_length_b 6.0766
_cell_length_c 7.0223
_cell_angle_alpha 90.02
_cell_angle_beta 115.48
_cell_angle_gamma 119.91
_space_group_name_H-M_alt 'P -1'
_space_group_IT_number 2
loop_
_space_group_symop_operation_xyz
'x,y,z'
'-x,-y,-z'
loop_
_atom_site_label
_atom_site_type_symbol
_atom_site_fract_x
_atom_site_fract_y
_atom_site_fract_z
Li1 Li 0.0000 0.0000 0.0000
Ac1 Ac 0.4747 0.7372 0.2113
Be1 Be 0.0000 0.5000 0.5000
Pd1 Pd 0.0367 0.2593 0.2956
Pd2 Pd 0.0377 0.7785 0.2965
Pd3 Pd 0.4815 0.7409 0.7039
# total magnetic moment: 0.00 μB per formula unit
# calculated formation energy: -0.6526 eV/atom
# density of states at the Fermi level: 1.867 states/eV/f.u.



# 5
# PBE Nd3MgPb3, optimized geometry
data_Nd3MgPb3
_chemical_formula_sum 'Nd12 Mg4 Pb12'
_cell_length_a 8.4013
_cell_length_b 10.5869
_cell_length_c 9.7540
_cell_angle_alpha 90.00
_cell_angle_beta 90.45
_cell_angle_gamma 90.00
_space_group_name_H-M_alt 'C 1 2/m 1'
_space_group_IT_number 12
loop_
_space_group_symop_operation_xyz
'x,y,z'
'-x,-y,-z'
'-x,y,-z'
'x,-y,z'
'x+1/2,y+1/2,z'
'-x+1/2,-y+1/2,-z'
'-x+1/2,y+1/2,-z'
'x+1/2,-y+1/2,z'
loop_
_atom_site_label
_atom_site_type_symbol
_atom_site_fract_x
_atom_site_fract_y
_atom_site_fract_z
Nd1 Nd 0.0000 0.1912 0.0000
Nd2 Nd 0.0000 0.2217 0.5000
Nd3 Nd 0.0907 0.5000 0.7976
Mg1 Mg 0.2014 0.5000 0.4669
Pb1 Pb 0.0207 0.0000 0.2650
Pb2 Pb 0.2319 0.2924 0.2412
# total magnetic moment: 0.36 μB per formula unit
# calculated formation energy: -0.3923 eV/atom
# density of states at the Fermi level: 4.999 states/eV/f.u.



# 6
# PBE SmAlCl6, optimized geometry
data_SmAlCl6
_chemical_formula_sum 'Sm2 Al2 Cl12'
_cell_length_a 6.3419
_cell_length_b 12.6013
_cell_length_c 6.3138
_cell_angle_alpha 90.00
_cell_angle_beta 106.10
_cell_angle_gamma 90.00
_space_group_name_H-M_alt 'C 1 2/m 1'
_space_group_IT_number 12
loop_
_space_group_symop_operation_xyz
'x,y,z'
'-x,-y,-z'
'-x,y,-z'
'x,-y,z'
'x+1/2,y+1/2,z'
'-x+1/2,-y+1/2,-z'
'-x+1/2,y+1/2,-z'
'x+1/2,-y+1/2,z'
loop_
_atom_site_label
_atom_site_type_symbol
_atom_site_fract_x
_atom_site_fract_y
_atom_site_fract_z
Sm1 Sm 0.0000 0.0000 0.0000
Al1 Al 0.0000 0.5000 0.5000
Cl1 Cl 0.2140 0.3672 0.7171
Cl2 Cl 0.2364 0.5000 0.2670
# total magnetic moment: 0.00 μB per formula unit
# density of states at the Fermi level: 0.000 states/eV/f.u.
# formation energy without anion corrections: -14.522 eV/f.u.



# 7
# PBE KLiDy2O4, optimized geometry
data_KLiDy2O4
_chemical_formula_sum 'K4 Li4 Dy8 O16'
_cell_length_a 3.4613
_cell_length_b 11.5649
_cell_length_c 11.6338
_cell_angle_alpha 90.00
_cell_angle_beta 90.00
_cell_angle_gamma 90.00
_space_group_name_H-M_alt 'C m c m'
_space_group_IT_number 63
_space_group_name_Hall '-C 2c 2'
loop_
_atom_site_label
_atom_site_type_symbol
_atom_site_fract_x
_atom_site_fract_y
_atom_site_fract_z
K1 K 0.0000 0.0982 0.2500
Li1 Li 0.0000 0.1793 0.7500
Dy1 Dy 0.0000 0.3660 0.0589
O1 O 0.0000 0.0000 0.0000
O2 O 0.0000 0.2521 0.6013
O3 O 0.0000 0.4048 0.2500
# total magnetic moment: 0.00 μB per formula unit
# density of states at the Fermi level: 0.000 states/eV/f.u.
# formation energy without anion corrections: -22.820 eV/f.u.



# 8
# PBE Os2C, optimized geometry
data_Os2C
_chemical_formula_sum 'Os8 C4'
_cell_length_a 5.2181
_cell_length_b 5.2181
_cell_length_c 5.2181
_cell_angle_alpha 90.00
_cell_angle_beta 90.00
_cell_angle_gamma 90.00
_space_group_name_H-M_alt 'P a -3'
_space_group_IT_number 205
_space_group_name_Hall '-P 2ac 2ab 3'
loop_
_atom_site_label
_atom_site_type_symbol
_atom_site_fract_x
_atom_site_fract_y
_atom_site_fract_z
Os1 Os 0.1623 0.1623 0.1623
C1 C 0.0000 0.0000 0.5000
# energy above the most stable polymorph in this dataset: 103 kJ/mol of formula units
# total magnetic moment: 0.00 μB per formula unit
# calculated formation energy: 0.8587 eV/atom
# density of states at the Fermi level: 2.489 states/eV/f.u.



# 9
# PBE AlTcSb2, optimized geometry
data_AlTcSb2
_chemical_formula_sum 'Al2 Tc2 Sb4'
_cell_length_a 4.3843
_cell_length_b 3.7793
_cell_length_c 9.7333
_cell_angle_alpha 90.00
_cell_angle_beta 90.00
_cell_angle_gamma 90.00
_space_group_name_H-M_alt 'A m m 2'
_space_group_IT_number 38
loop_
_space_group_symop_operation_xyz
'x,y,z'
'-x,-y,z'
'-x,y,z'
'x,-y,z'
'x,y+1/2,z+1/2'
'-x,-y+1/2,z+1/2'
'-x,y+1/2,z+1/2'
'x,-y+1/2,z+1/2'
loop_
_atom_site_label
_atom_site_type_symbol
_atom_site_fract_x
_atom_site_fract_y
_atom_site_fract_z
Al1 Al 0.0000 0.0000 0.0000
Tc1 Tc 0.5000 0.0000 0.8611
Sb1 Sb 0.0000 0.0000 0.2788
Sb2 Sb 0.5000 0.0000 0.5706
# total magnetic moment: 0.13 μB per formula unit
# density of states at the Fermi level: 2.509 states/eV/f.u.
# formation energy without anion corrections: 0.185 eV/f.u.



# 10
# PBE K2HfBeO4, optimized geometry
data_K2HfBeO4
_chemical_formula_sum 'K4 Hf2 Be2 O8'
_cell_length_a 5.8347
_cell_length_b 6.3440
_cell_length_c 6.6722
_cell_angle_alpha 90.00
_cell_angle_beta 90.00
_cell_angle_gamma 90.00
_space_group_name_H-M_alt 'P m m n'
_space_group_IT_number 59
loop_
_space_group_symop_operation_xyz
'x,y,z'
'-x,-y,-z'
'-x+1/2,-y+1/2,z'
'x+1/2,y+1/2,-z'
'x+1/2,-y,-z'
'-x+1/2,y,z'
'-x,y+1/2,-z'
'x,-y+1/2,z'
loop_
_atom_site_label
_atom_site_type_symbol
_atom_site_fract_x
_atom_site_fract_y
_atom_site_fract_z
K1 K 0.2500 0.0030 0.2019
Hf1 Hf 0.2500 0.2500 0.6463
Be1 Be 0.2500 0.7500 0.6674
O1 O 0.0187 0.7500 0.5242
O2 O 0.2500 0.5163 0.8045
# total magnetic moment: 0.00 μB per formula unit
# density of states at the Fermi level: 0.000 states/eV/f.u.
# formation energy without anion corrections: -19.542 eV/f.u.



# 11
# PBE Ce2PuTc3, optimized geometry
data_Ce2PuTc3
_chemical_formula_sum 'Ce4 Pu2 Tc6'
_cell_length_a 8.8667
_cell_length_b 5.7670
_cell_length_c 5.2882
_cell_angle_alpha 90.00
_cell_angle_beta 119.35
_cell_angle_gamma 90.00
_space_group_name_H-M_alt 'C 1 2/m 1'
_space_group_IT_number 12
loop_
_space_group_symop_operation_xyz
'x,y,z'
'-x,-y,-z'
'-x,y,-z'
'x,-y,z'
'x+1/2,y+1/2,z'
'-x+1/2,-y+1/2,-z'
'-x+1/2,y+1/2,-z'
'x+1/2,-y+1/2,z'
loop_
_atom_site_label
_atom_site_type_symbol
_atom_site_fract_x
_atom_site_fract_y
_atom_site_fract_z
Ce1 Ce 0.1185 0.0000 0.3813
Pu1 Pu 0.0000 0.5000 0.0000
Tc1 Tc 0.0000 0.5000 0.5000
Tc2 Tc 0.2500 0.2500 0.0000
# energy above the most stable polymorph in this dataset: 0 kJ/mol of formula units
# total magnetic moment: 2.81 μB per formula unit
# calculated formation energy: -0.0843 eV/atom
# density of states at the Fermi level: 12.365 states/eV/f.u.